1.
# AlAgAs3 | Alexandria via LeMat-Bulk | GGA-PBE | optimized geometry
# * ΔH_f (0 K): 967.3 meV per atom
# * final energy: -15.7 eV per cell
data_AlAgAs3
_space_group_name_H-M_alt 'P 1'
_space_group_IT_number 1
_space_group_name_Hall 'P 1'
_cell_length_a 5.016
_cell_length_b 5.016
_cell_length_c 5.016
_cell_angle_alpha 90.00
_cell_angle_beta 90.00
_cell_angle_gamma 90.00
loop_
_atom_site_label
_atom_site_type_symbol
_atom_site_fract_x
_atom_site_fract_y
_atom_site_fract_z
_atom_site_occupancy
As1 As 0.000 0.500 0.000 1
As2 As 0.000 0.000 0.500 1
As3 As 0.500 0.000 0.000 1
Al1 Al 0.500 0.500 0.500 1
Ag1 Ag 0.000 0.000 0.000 1

---

2.
# SmErAu2 | Alexandria via LeMat-Bulk | GGA-PBE | optimized geometry
# * ΔH_f (0 K): -718.5 meV per atom
# * final energy: -18.7 eV per cell
data_SmErAu2
_space_group_name_H-M_alt 'P 1'
_space_group_IT_number 1
_space_group_name_Hall 'P 1'
_cell_length_a 4.279
_cell_length_b 4.279
_cell_length_c 7.182
_cell_angle_alpha 72.67
_cell_angle_beta 72.67
_cell_angle_gamma 60.00
loop_
_atom_site_label
_atom_site_type_symbol
_atom_site_fract_x
_atom_site_fract_y
_atom_site_fract_z
_atom_site_occupancy
Au1 Au 0.745 0.745 0.765 1
Au2 Au 0.255 0.255 0.235 1
Sm1 Sm 0.500 0.500 0.500 1
Er1 Er 0.000 0.000 0.000 1

---

3.
# Pr6HgN3 | Alexandria via LeMat-Bulk | GGA-PBE | optimized geometry
# * E_form (uncorrected): -0.68 eV/atom
# * final energy: -60.7 eV per cell
data_Pr6HgN3
_space_group_name_H-M_alt 'P 1'
_space_group_IT_number 1
_space_group_name_Hall 'P 1'
_cell_length_a 3.848
_cell_length_b 8.316
_cell_length_c 8.316
_cell_angle_alpha 110.94
_cell_angle_beta 90.00
_cell_angle_gamma 90.00
loop_
_atom_site_label
_atom_site_type_symbol
_atom_site_fract_x
_atom_site_fract_y
_atom_site_fract_z
_atom_site_occupancy
Pr1 Pr 0.000 0.051 0.308 1
Pr2 Pr 0.000 0.949 0.692 1
Pr3 Pr 0.000 0.308 0.051 1
Pr4 Pr 0.000 0.692 0.949 1
Pr5 Pr 0.500 0.686 0.314 1
Pr6 Pr 0.500 0.314 0.686 1
Hg1 Hg 0.000 0.500 0.500 1
N1 N 0.500 0.500 0.000 1
N2 N 0.000 0.000 0.000 1
N3 N 0.500 0.000 0.500 1

---

4.
# Hf3TlS | Alexandria via LeMat-Bulk | GGA-PBE | optimized geometry
# * E_form (uncorrected): -0.22 eV/atom
# * final energy: -37.4 eV per cell
data_Hf3TlS
_space_group_name_H-M_alt 'P 1'
_space_group_IT_number 1
_space_group_name_Hall 'P 1'
_cell_length_a 4.788
_cell_length_b 4.788
_cell_length_c 4.788
_cell_angle_alpha 90.00
_cell_angle_beta 90.00
_cell_angle_gamma 90.00
loop_
_atom_site_label
_atom_site_type_symbol
_atom_site_fract_x
_atom_site_fract_y
_atom_site_fract_z
_atom_site_occupancy
Tl1 Tl 0.500 0.500 0.500 1
Hf1 Hf 0.000 0.500 0.000 1
Hf2 Hf 0.000 0.000 0.500 1
Hf3 Hf 0.500 0.000 0.000 1
S1 S 0.000 0.000 0.000 1

---

5.
# CaTa2Cd | Alexandria via LeMat-Bulk | GGA-PBE | optimized geometry
# * ΔH_f (0 K): 611.3 meV per atom
# * final energy: -24.2 eV per cell
data_CaTa2Cd
_space_group_name_H-M_alt 'P 1'
_space_group_IT_number 1
_space_group_name_Hall 'P 1'
_cell_length_a 10.947
_cell_length_b 10.947
_cell_length_c 10.947
_cell_angle_alpha 15.83
_cell_angle_beta 15.83
_cell_angle_gamma 15.83
loop_
_atom_site_label
_atom_site_type_symbol
_atom_site_fract_x
_atom_site_fract_y
_atom_site_fract_z
_atom_site_occupancy
Ca1 Ca 0.250 0.250 0.250 1
Cd1 Cd 0.750 0.750 0.750 1
Ta1 Ta 0.004 0.004 0.004 1
Ta2 Ta 0.496 0.496 0.496 1

---

6.
# Ag2Pd8Au | Alexandria via LeMat-Bulk | GGA-PBE | optimized geometry
# * ΔH_f (0 K): 76.6 meV per atom
# * final energy: -49.7 eV per cell
data_Ag2Pd8Au
_space_group_name_H-M_alt 'P 1'
_space_group_IT_number 1
_space_group_name_Hall 'P 1'
_cell_length_a 3.885
_cell_length_b 8.438
_cell_length_c 7.351
_cell_angle_alpha 125.03
_cell_angle_beta 105.32
_cell_angle_gamma 90.00
loop_
_atom_site_label
_atom_site_type_symbol
_atom_site_fract_x
_atom_site_fract_y
_atom_site_fract_z
_atom_site_occupancy
Ag1 Ag 0.142 0.642 0.283 1
Ag2 Ag 0.858 0.358 0.717 1
Pd1 Pd 0.667 0.920 0.335 1
Pd2 Pd 0.333 0.586 0.665 1
Pd3 Pd 0.178 0.178 0.357 1
Pd4 Pd 0.000 0.236 0.000 1
Pd5 Pd 0.822 0.822 0.643 1
Pd6 Pd 0.667 0.414 0.335 1
Pd7 Pd 0.333 0.080 0.665 1
Pd8 Pd 0.000 0.764 0.000 1
Au1 Au 0.500 0.000 0.000 1

---

Q: Which volume values were calculated for the entries above? A: 126.2, 106.9, 248.5, 109.7, 85.0, 186.8, in Å³ per cell.